{
  "formula": "Tb2YI5",
  "functional": "GGA-PBE",
  "state": "optimized geometry",
  "cell": [[-5.341, 5.180, 2.161], [-7.328, -6.944, -1.466], [1.579, -5.046, 16.003]],
  "species": ["Tb", "Tb", "Tb", "Tb", "Tb", "Tb", "Tb", "Tb", "Y", "Y", "Y", "Y", "I", "I", "I", "I", "I", "I", "I", "I", "I", "I", "I", "I", "I", "I", "I", "I", "I", "I", "I", "I"],
  "frac_coords": [[0.222, 0.000, 0.000], [0.778, 0.000, 0.000], [0.000, 0.202, 0.685], [0.500, 0.298, 0.185], [0.278, 0.500, 0.500], [0.722, 0.500, 0.500], [0.500, 0.702, 0.815], [0.000, 0.798, 0.315], [0.000, 0.156, 0.155], [0.500, 0.344, 0.655], [0.500, 0.656, 0.345], [0.000, 0.844, 0.845], [0.000, 0.154, 0.865], [0.500, 0.005, 0.852], [0.000, 0.092, 0.331], [0.249, 0.303, 0.044], [0.751, 0.303, 0.044], [0.251, 0.197, 0.544], [0.749, 0.197, 0.544], [0.500, 0.408, 0.831], [0.000, 0.495, 0.352], [0.500, 0.346, 0.365], [0.500, 0.654, 0.635], [0.000, 0.505, 0.648], [0.500, 0.592, 0.169], [0.251, 0.803, 0.456], [0.749, 0.803, 0.456], [0.249, 0.697, 0.956], [0.751, 0.697, 0.956], [0.000, 0.908, 0.669], [0.500, 0.995, 0.148], [0.000, 0.846, 0.135]],
  "density_g_cm3": 5.19,
  "final_energy_ev_per_atom": -3.85,
  "crystal_system": "orthorhombic",
  "m_tot_mub_per_atom": 0.161
}